Compound: TiBeSe2
Source: Alexandria
Functional: PBE-GGA
Structure: relaxed

Summary:
The uncorrected formation energy is -0.62 eV per atom. The density of states at the Fermi level comes out at 2.2 states/eV per cell. As for the crystal system: tetragonal. Its final energy is -5.27 eV per atom.

CIF file:
```
data_TiBeSe2
_chemical_formula_sum 'Ti4 Be4 Se8'
_symmetry_space_group_name_H-M 'I -4 2 d'
_symmetry_Int_Tables_number 122
_symmetry_space_group_name_Hall 'I -4 2bw'
_cell_length_a 5.7730
_cell_length_b 5.7730
_cell_length_c 10.0568
_cell_angle_alpha 90.00
_cell_angle_beta 90.00
_cell_angle_gamma 90.00
loop_
_atom_site_label
_atom_site_type_symbol
_atom_site_fract_x
_atom_site_fract_y
_atom_site_fract_z
_atom_site_occupancy
Ti1 Ti 0.0000 0.0000 0.0000 1
Be1 Be 0.0000 0.0000 0.5000 1
Se1 Se 0.2015 0.2500 0.6250 1
```